--- P ---
DFT (PBE) results for Si3PtF after structural relaxation.

Values from the calculation:
Fermi-level density of states	0.4274	states/eV per atom
crystal system	cubic
spin magnetization	0.000	μB per atom

abc: 4.2737 4.2737 4.2737
angles: 90.00 90.00 90.00
Closest atoms and distances in Å follow each position.
Atoms (fractional coordinates):
Si1 0.0000 0.0000 0.5000  2 F 2.14
Si2 0.0000 0.5000 0.0000  2 F 2.14
Si3 0.5000 0.0000 0.0000  2 F 2.14
Pt1 0.5000 0.5000 0.5000  12 Si 3.02
F1 0.0000 0.0000 0.0000  6 Si 2.14

--- Q ---
DFT (PBE) results for Si3PtF after structural relaxation.

Values from the calculation:
Fermi-level density of states	1.1130	states/eV per atom
crystal system	cubic
spin magnetization	0.262	μB per atom

abc: 4.7380 4.7380 4.7380
angles: 90.00 90.00 90.00
Closest atoms and distances in Å follow each position.
Atoms (fractional coordinates):
Si1 0.0000 0.0000 0.5000  2 Pt 2.37
Si2 0.0000 0.5000 0.0000  2 Pt 2.37
Si3 0.5000 0.0000 0.0000  2 Pt 2.37
Pt1 0.0000 0.0000 0.0000  6 Si 2.37
F1 0.5000 0.5000 0.5000  12 Si 3.35

Stability, highest: Q

--- P ---
DFT (PBE) results for SiPt2F after structural relaxation.

Values from the calculation:
Fermi-level density of states	0.3526	states/eV per atom
crystal system	cubic
spin magnetization	0.000	μB per atom

abc: 4.2090 4.2090 4.2090
angles: 60.00 60.00 60.00
Closest atoms and distances in Å follow each position.
Atoms (fractional coordinates):
Si1 0.0000 0.0000 0.0000  8 Pt 2.58
Pt1 0.2500 0.2500 0.2500  4 F 2.58, 4 Si 2.58
Pt2 0.7500 0.7500 0.7500  4 Si 2.58, 4 F 2.58
F1 0.5000 0.5000 0.5000  8 Pt 2.58

--- Q ---
DFT (PBE) results for SiPt2F after structural relaxation.

Values from the calculation:
Fermi-level density of states	0.3899	states/eV per atom
crystal system	tetragonal
spin magnetization	0.000	μB per atom

abc: 5.4095 5.4095 5.4095
angles: 105.08 105.08 118.67
Closest atoms and distances in Å follow each position.
Atoms (fractional coordinates):
Si1 0.0000 0.0000 0.0000  4 Pt 2.33
Si2 0.7500 0.2500 0.5000  4 Pt 2.33
Pt1 0.1030 0.1250 0.4780  2 Si 2.33, 2 F 2.53
Pt2 0.3750 0.8970 0.0220  2 Si 2.33, 2 F 2.53
Pt3 0.6470 0.6250 0.5220  2 Si 2.33, 2 F 2.53
Pt4 0.8750 0.3530 0.9780  2 Si 2.33, 2 F 2.53
F1 0.2500 0.7500 0.5000  4 Pt 2.53, 2 Si 2.76
F2 0.5000 0.5000 0.0000  4 Pt 2.53, 2 Si 2.76

Stability, highest: P

--- P ---
DFT (PBE) results for Si2PtF after structural relaxation.

Values from the calculation:
Fermi-level density of states	0.5082	states/eV per atom
crystal system	cubic
spin magnetization	0.000	μB per atom

abc: 4.2284 4.2284 4.2284
angles: 60.00 60.00 60.00
Closest atoms and distances in Å follow each position.
Atoms (fractional coordinates):
Si1 0.2500 0.2500 0.2500  4 F 2.59, 4 Pt 2.59
Si2 0.7500 0.7500 0.7500  4 F 2.59, 4 Pt 2.59
Pt1 0.0000 0.0000 0.0000  8 Si 2.59
F1 0.5000 0.5000 0.5000  8 Si 2.59

--- Q ---
DFT (PBE) results for Si2PtF after structural relaxation.

Values from the calculation:
Fermi-level density of states	0.2344	states/eV per atom
crystal system	tetragonal
spin magnetization	0.000	μB per atom

abc: 6.8793 6.8793 6.8793
angles: 137.01 137.01 62.42
Closest atoms and distances in Å follow each position.
Atoms (fractional coordinates):
Si1 0.1208 0.6250 0.9958  2 F 2.30, 2 Pt 2.32
Si2 0.3750 0.3708 0.4958  2 F 2.30, 2 Pt 2.32
Si3 0.6292 0.1250 0.0042  2 F 2.30, 2 Pt 2.32
Si4 0.8750 0.8792 0.5042  2 F 2.30, 2 Pt 2.32
Pt1 0.2500 0.7500 0.5000  4 Si 2.32
Pt2 0.5000 0.5000 0.0000  4 Si 2.32
F1 0.0000 0.0000 0.0000  4 Si 2.30
F2 0.7500 0.2500 0.5000  4 Si 2.30

Stability, highest: P

--- P ---
DFT (PBE) results for SiPtF3 after structural relaxation.

Values from the calculation:
Fermi-level density of states	1.0272	states/eV per atom
crystal system	cubic
spin magnetization	0.046	μB per atom

abc: 4.0600 4.0600 4.0600
angles: 90.00 90.00 90.00
Closest atoms and distances in Å follow each position.
Atoms (fractional coordinates):
Si1 0.0000 0.0000 0.0000  6 F 2.03
Pt1 0.5000 0.5000 0.5000  12 F 2.87
F1 0.0000 0.0000 0.5000  2 Si 2.03
F2 0.0000 0.5000 0.0000  2 Si 2.03
F3 0.5000 0.0000 0.0000  2 Si 2.03

--- Q ---
DFT (PBE) results for SiPtF3 after structural relaxation.

Values from the calculation:
Fermi-level density of states	0.5334	states/eV per atom
crystal system	cubic
spin magnetization	0.039	μB per atom

abc: 4.3189 4.3189 4.3189
angles: 90.00 90.00 90.00
Closest atoms and distances in Å follow each position.
Atoms (fractional coordinates):
Si1 0.0000 0.0000 0.0000  12 F 3.05
Pt1 0.5000 0.5000 0.5000  6 F 2.16
F1 0.0000 0.5000 0.5000  2 Pt 2.16
F2 0.5000 0.0000 0.5000  2 Pt 2.16
F3 0.5000 0.5000 0.0000  2 Pt 2.16

Stability, highest: P